Computed, not measured: a relaxed LiNiPO4 crystal at the PBE+U level of DFT.

Properties
energy = -6.211 eV per atom
size of the total moment = 0.281 μB per atom

```
data_LiNiPO4
_cell_length_a 5.2139
_cell_length_b 7.5039
_cell_length_c 8.6403
_cell_angle_alpha 100.63
_cell_angle_beta 92.55
_cell_angle_gamma 97.47
_space_group_name_H-M_alt 'P 1'
_space_group_IT_number 1
loop_
_space_group_symop_operation_xyz
'x,y,z'
loop_
_atom_site_label
_atom_site_type_symbol
_atom_site_fract_x
_atom_site_fract_y
_atom_site_fract_z
Li1 Li 0.1169 0.0283 0.3600
Li2 Li 0.2929 0.5350 0.1673
Li3 Li 0.7071 0.4650 0.8327
Li4 Li 0.8831 0.9717 0.6400
Ni1 Ni 0.2811 0.3712 0.5872
Ni2 Ni 0.2907 0.8005 0.8915
Ni3 Ni 0.7093 0.1995 0.1085
Ni4 Ni 0.7189 0.6288 0.4128
P1 P 0.1871 0.2191 0.9127
P2 P 0.2825 0.7166 0.5290
P3 P 0.7175 0.2834 0.4710
P4 P 0.8129 0.7809 0.0873
O1 O 0.0605 0.8117 0.4710
O2 O 0.0823 0.7129 0.0564
O3 O 0.1373 0.0123 0.8342
O4 O 0.2082 0.6408 0.6806
O5 O 0.3076 0.5405 0.4029
O6 O 0.3388 0.3313 0.8054
O7 O 0.3516 0.2560 0.0735
O8 O 0.4509 0.1650 0.4469
O9 O 0.5491 0.8350 0.5531
O10 O 0.6484 0.7440 0.9265
O11 O 0.6612 0.6687 0.1946
O12 O 0.6924 0.4595 0.5971
O13 O 0.7918 0.3592 0.3194
O14 O 0.8627 0.9877 0.1658
O15 O 0.9177 0.2871 0.9436
O16 O 0.9395 0.1883 0.5290
```